# 1
# ScTc3Ni

A relaxed ScTc3Ni crystal (GGA-PBE, the Alexandria database).

Structure (POSCAR):
```
ScTc3Ni
1.0
4.513 0.000 0.000
0.000 4.513 0.000
0.000 0.000 4.513
Sc Tc Ni
1 3 1
Cartesian
0.000 0.000 0.000
0.000 0.000 2.256
0.000 2.256 0.000
2.256 0.000 0.000
2.256 2.256 2.256
```

Its calculated volume is 18.378 Å³ per atom. Its space-group type is No. 221. Its total energy is -33.1 eV per cell. As for the formation energy: 2.024 eV per atom. As for the excess energy over the best structure of this formula in the dataset: 1.0069 eV per atom.


# 2
# KCrReC2

A relaxed KCrReC2 crystal (GGA-PBE, the Alexandria database).

Structure (POSCAR):
```
KCrReC2
1.0
4.047 0.000 0.000
0.000 4.047 0.000
0.000 0.000 4.671
K Cr Re C
1 1 1 2
Cartesian
0.000 0.000 0.000
2.024 2.024 2.336
2.024 2.024 0.000
0.000 2.024 2.336
2.024 0.000 2.336
```

Its calculated volume is 15.304 Å³ per atom. Its space-group type is No. 123. Its total energy is -31.0 eV per cell. As for the formation energy: 2.117 eV per atom.